1.
TaBe after structural relaxation. Source: OQMD, functional PBE.

Values from the calculation:
**ΔE to the lowest computed polymorph**: 1.453 eV per atom

Lattice parameters (Å, degrees): 5.2284 5.2284 5.2284 90.00 90.00 90.00
With the nearest neighbours (Å) after each atom.
Space group F-43m (No. 216)
One atom of each set of equivalent atoms:
Ta (0.0000, 0.0000, 0.0000) [4 per cell]  4 Be 2.26
Be (0.2500, 0.2500, 0.2500) [4 per cell]  4 Ta 2.26

2.
Ta2Be after structural relaxation. Source: OQMD, functional PBE.

Values from the calculation:
**ΔE to the lowest computed polymorph**: 0.000 eV per atom

Lattice parameters (Å, degrees): 7.5678 7.5678 7.5678 90.00 90.00 90.00
With the nearest neighbours (Å) after each atom.
Space group Fd-3m (No. 227, origin choice 2)
One atom of each set of equivalent atoms:
Ta (0.0000, 0.0000, 0.0000) [16 per cell]  6 Ta 2.68
Be (0.1250, 0.1250, 0.6250) [8 per cell]  12 Ta 3.14, 4 Be 3.28

3.
TbTaBe after structural relaxation. Source: OQMD, functional PBE.

Values from the calculation:
**E_tot**: -6.10 eV per atom

Lattice parameters (Å, degrees): 6.2182 6.2182 6.2182 90.00 90.00 90.00
With the nearest neighbours (Å) after each atom.
Space group F-43m (No. 216)
One atom of each set of equivalent atoms:
Tb (0.0000, 0.0000, 0.0000) [4 per cell]  4 Be 2.69
Ta (0.0000, 0.0000, 0.5000) [4 per cell]  4 Be 2.69
Be (0.2500, 0.2500, 0.7500) [4 per cell]  4 Tb 2.69, 4 Ta 2.69

4.
TaBeTc2 after structural relaxation. Source: OQMD, functional PBE.

Values from the calculation:
**E_tot**: -8.99 eV per atom

Lattice parameters (Å, degrees): 6.1156 6.1156 6.1156 90.00 90.00 90.00
With the nearest neighbours (Å) after each atom.
Space group F-43m (No. 216)
One atom of each set of equivalent atoms:
Ta (0.0000, 0.0000, 0.0000) [4 per cell]  4 Tc 2.65, 4 Be 2.65
Be (0.2500, 0.2500, 0.7500) [4 per cell]  4 Ta 2.65, 4 Tc 2.65
Tc (0.0000, 0.0000, 0.5000) [4 per cell]  4 Be 2.65, 4 Tc 2.65
Tc (0.2500, 0.2500, 0.2500) [4 per cell]  4 Ta 2.65, 4 Tc 2.65

5.
Ta2BeTc after structural relaxation. Source: OQMD, functional PBE.

Values from the calculation:
**E_tot**: -9.33 eV per atom

Lattice parameters (Å, degrees): 6.2422 6.2422 6.2422 90.00 90.00 90.00
With the nearest neighbours (Å) after each atom.
Space group F-43m (No. 216)
One atom of each set of equivalent atoms:
Ta (0.0000, 0.0000, 0.0000) [4 per cell]  4 Ta 2.70, 4 Tc 2.70
Ta (0.2500, 0.2500, 0.2500) [4 per cell]  4 Be 2.70, 4 Ta 2.70
Be (0.0000, 0.0000, 0.5000) [4 per cell]  4 Ta 2.70, 4 Tc 2.70
Tc (0.2500, 0.2500, 0.7500) [4 per cell]  4 Ta 2.70, 4 Be 2.70

6.
Ta2Be2Tc after structural relaxation. Source: OQMD, functional PBE.

Values from the calculation:
**ΔE to the lowest computed polymorph**: 0.618 eV per atom

Lattice parameters (Å, degrees): 3.0772 3.0772 7.5584 90.00 90.00 90.00
With the nearest neighbours (Å) after each atom.
Space group P4/mmm (No. 123)
One atom of each set of equivalent atoms:
Ta (0.0000, 0.0000, 0.2164) [2 per cell]  4 Be 2.64, 4 Tc 2.72
Be (0.0000, 0.5000, 0.5000) [2 per cell]  4 Be 2.18
Tc (0.5000, 0.5000, 0.0000) [1 per cell]  8 Ta 2.72

7.
Ta2Be2Tc after structural relaxation. Source: OQMD, functional PBE.

Values from the calculation:
**ΔE to the lowest computed polymorph**: 0.000 eV per atom

Lattice parameters (Å, degrees): 6.3240 6.3240 3.2931 90.00 90.00 90.00
With the nearest neighbours (Å) after each atom.
Space group P4/mbm (No. 127)
One atom of each set of equivalent atoms:
Ta (0.1782, 0.3218, 0.0000) [4 per cell]  6 Be 2.46-2.52
Be (0.1178, 0.6178, 0.5000) [4 per cell]  1 Be 2.11
Tc (0.0000, 0.0000, 0.5000) [2 per cell]  4 Be 2.53

8.
ThTaBe after structural relaxation. Source: OQMD, functional PBE.

Values from the calculation:
**E_tot**: -7.15 eV per atom

Lattice parameters (Å, degrees): 6.3199 6.3199 6.3199 90.00 90.00 90.00
With the nearest neighbours (Å) after each atom.
Space group F-43m (No. 216)
One atom of each set of equivalent atoms:
Th (0.0000, 0.0000, 0.0000) [4 per cell]  4 Be 2.74
Ta (0.0000, 0.0000, 0.5000) [4 per cell]  4 Be 2.74
Be (0.2500, 0.2500, 0.7500) [4 per cell]  4 Ta 2.74, 4 Th 2.74

no.,total magnetic moment (μB/f.u.)
1,0.0
2,0.0
3,0.0
4,0.0
5,0.2
6,0.0
7,0.0
8,0.0